Record 1
A plane-wave DFT calculation with GGA-PBE was carried out for an optimized crystal structure of AgIr3Cl.

Cell lengths 4.4294, 4.4294, 4.4294 Å; angles 90.00, 90.00, 90.00 degrees
Fractional coordinates of all 5 atoms:
Ag  0.0000  0.0000  0.0000
Ir  0.0000  0.5000  0.5000
Ir  0.5000  0.0000  0.5000
Ir  0.5000  0.5000  0.0000
Cl  0.5000  0.5000  0.5000

Properties
**Uncorrected formation energy**: 1494.1 meV per atom
**E above lowest polymorph**: 0 meV/atom
**Crystal system**: cubic

***

Record 2
A plane-wave DFT calculation with GGA-PBE was carried out for an optimized crystal structure of PuTi4Ga5.

Cell lengths 3.3987, 3.3987, 14.8924 Å; angles 90.00, 90.00, 90.00 degrees
Fractional coordinates of all 10 atoms:
Pu  0.0000  0.0000  0.0000
Ti  0.0000  0.0000  0.2220
Ti  0.0000  0.0000  0.4075
Ti  0.0000  0.0000  0.5925
Ti  0.0000  0.0000  0.7780
Ga  0.5000  0.5000  0.1298
Ga  0.5000  0.5000  0.3146
Ga  0.5000  0.5000  0.5000
Ga  0.5000  0.5000  0.6854
Ga  0.5000  0.5000  0.8702

Properties
**Energy relative to the elements**: -0.35 eV/atom
**Crystal system**: tetragonal

***

Record 3
A plane-wave DFT calculation with GGA-PBE was carried out for an optimized crystal structure of Tb6Er4Tm.

Cell lengths 5.5566, 5.5566, 25.4128 Å; angles 90.00, 90.00, 118.65 degrees
Fractional coordinates of all 22 atoms:
Tb  0.0000  0.0000  0.0000
Tb  0.0000  0.0000  0.5000
Tb  0.0303  0.9697  0.7500
Tb  0.3064  0.6936  0.1041
Tb  0.3064  0.6936  0.3959
Tb  0.3630  0.6370  0.6820
Tb  0.3630  0.6370  0.8180
Tb  0.6370  0.3630  0.1820
Tb  0.6370  0.3630  0.3180
Tb  0.6936  0.3064  0.6041
Tb  0.6936  0.3064  0.8959
Tb  0.9697  0.0303  0.2500
Er  0.0326  0.9674  0.6220
Er  0.0326  0.9674  0.8780
Er  0.3452  0.6548  0.5432
Er  0.3452  0.6548  0.9568
Er  0.6548  0.3452  0.0432
Er  0.6548  0.3452  0.4568
Er  0.9674  0.0326  0.1220
Er  0.9674  0.0326  0.3780
Tm  0.3049  0.6951  0.2500
Tm  0.6951  0.3049  0.7500

Properties
**Energy relative to the elements**: 0.13 eV/atom
**E above lowest polymorph**: 0 meV/atom
**Crystal system**: orthorhombic

***

Record 4
A plane-wave DFT calculation with GGA-PBE was carried out for an optimized crystal structure of Mg12InHg3.

Cell lengths 4.4967, 4.4967, 17.2328 Å; angles 90.00, 90.00, 90.00 degrees
Fractional coordinates of all 16 atoms:
Mg  0.0000  0.0000  0.0000
Mg  0.0000  0.0000  0.2464
Mg  0.0000  0.0000  0.5000
Mg  0.0000  0.0000  0.7536
Mg  0.0000  0.5000  0.1225
Mg  0.0000  0.5000  0.3708
Mg  0.0000  0.5000  0.6292
Mg  0.0000  0.5000  0.8775
Mg  0.5000  0.0000  0.1225
Mg  0.5000  0.0000  0.3708
Mg  0.5000  0.0000  0.6292
Mg  0.5000  0.0000  0.8775
In  0.5000  0.5000  0.5000
Hg  0.5000  0.5000  0.0000
Hg  0.5000  0.5000  0.2463
Hg  0.5000  0.5000  0.7537

Properties
**Energy relative to the elements**: -0.12 eV/atom
**Crystal system**: tetragonal

***

Record 5
A plane-wave DFT calculation with GGA-PBE was carried out for an optimized crystal structure of ScNb2N4.

Cell lengths 5.2889, 5.2889, 10.2672 Å; angles 90.00, 90.00, 146.51 degrees
Fractional coordinates of all 14 atoms:
Sc  0.1189  0.8811  0.7500
Sc  0.8811  0.1189  0.2500
Nb  0.3712  0.6288  0.5727
Nb  0.3712  0.6288  0.9273
Nb  0.6288  0.3712  0.0727
Nb  0.6288  0.3712  0.4273
N  0.0000  0.0000  0.0000
N  0.0000  0.0000  0.5000
N  0.2720  0.7280  0.1198
N  0.2720  0.7280  0.3802
N  0.4591  0.5409  0.7500
N  0.5409  0.4591  0.2500
N  0.7280  0.2720  0.6198
N  0.7280  0.2720  0.8802

Properties
**Uncorrected formation energy**: -1149.9 meV per atom
**Crystal system**: orthorhombic

***

Record 6
A plane-wave DFT calculation with GGA-PBE was carried out for an optimized crystal structure of Th5Tc2Pb.

Cell lengths 8.9130, 8.9130, 8.9130 Å; angles 126.32, 126.32, 79.37 degrees
Fractional coordinates of all 16 atoms:
Th  0.0000  0.0000  0.0000
Th  0.0227  0.5227  0.8135
Th  0.2092  0.0227  0.5000
Th  0.2908  0.7908  0.8135
Th  0.4773  0.2908  0.5000
Th  0.5000  0.5000  0.0000
Th  0.5227  0.7092  0.5000
Th  0.7092  0.2092  0.1865
Th  0.7908  0.9773  0.5000
Th  0.9773  0.4773  0.1865
Tc  0.1404  0.3596  0.5000
Tc  0.3596  0.8596  0.2193
Tc  0.6404  0.1404  0.7807
Tc  0.8596  0.6404  0.5000
Pb  0.2500  0.2500  0.0000
Pb  0.7500  0.7500  0.0000

Properties
**Energy relative to the elements**: -0.23 eV/atom
**Crystal system**: tetragonal

***

- Number 3 is which compound?
  Tb6Er4Tm

***

- Which formula does entry 1 have?
  AgIr3Cl